Entry 1:
PBE SmInO2, relaxed; space-group type = R-3m; magnetization = 0.000 μB per formula unit; VASP energy = -26.48 eV per cell
1.0
-1.972 2.979 -0.174
-2.010 0.980 2.791
3.932 4.949 3.386
Sm In O
1 1 2
direct
0.500 0.500 0.500
0.000 0.000 0.000
0.888 0.888 0.335
0.112 0.112 0.665

***

Entry 2:
PBE InHg3Pd6, relaxed; space-group type = Cmc2_1; energy relative to the lowest polymorph listed for this composition = 0.143 eV per atom; magnetization = 0.000 μB per formula unit
1.0
5.541 0.000 0.000
0.000 8.417 -0.361
0.000 -2.230 8.125
Pd Hg In
12 6 2
direct
0.298 0.991 0.009
0.587 0.219 0.781
0.796 0.970 0.488
0.798 0.009 0.991
0.296 0.030 0.512
0.111 0.731 0.541
0.296 0.488 0.970
0.611 0.269 0.459
0.111 0.459 0.269
0.611 0.541 0.731
0.796 0.512 0.030
0.087 0.781 0.219
0.154 0.405 0.595
0.531 0.288 0.139
0.031 0.139 0.288
0.654 0.595 0.405
0.531 0.861 0.712
0.031 0.712 0.861
0.072 0.178 0.822
0.572 0.822 0.178